Material: LiHfSN
Method: DFT, GGA-PBE
State: relaxed

E = -7.419 eV/atom
D(E_F) = 0.0 states/eV/f.u.
calculated volume = 15.2 A^3/atom
crystal system = trigonal

abc: 3.3665 3.3665 18.5715
angles: 90.00 90.00 120.00
With the nearest neighbours (Å) after each atom.
Space group R3m (No. 160, hexagonal axes)
Asymmetric unit:
1 Li 0.0000 0.0000 0.0000 (multiplicity 3)  1 N 2.00
2 Hf 0.0000 0.0000 0.4891 (multiplicity 3)  3 N 2.14
3 S 0.0000 0.0000 0.2553 (multiplicity 3)  3 Li 2.42, 3 Hf 2.68
4 N 0.0000 0.0000 0.1079 (multiplicity 3)  1 Li 2.00, 3 Hf 2.14